Computed, not measured: an optimized crystal structure of AcPu3Fe at the PBE-GGA level of DFT.

## Properties
N(E_F): 4.0428 states/eV/atom
calculated formation energy: 0.25 eV per atom
crystal system: cubic
space-group type: No. 221

abc: 5.2409 5.2409 5.2409
angles: 90.00 90.00 90.00
Site moments in Bohr magnetons follow the coordinates.
Positions (direct):
Ac 0.5000 0.5000 0.5000  0.26
Pu 0.0000 0.0000 0.5000  5.43
Pu 0.0000 0.5000 0.0000  5.43
Fe 0.0000 0.0000 0.0000  -1.17
Pu 0.5000 0.0000 0.0000  5.43

***

Computed, not measured: an optimized crystal structure of Rb4Ac3FeS8 at the PBE-GGA level of DFT.

## Properties
crystal system: monoclinic
E_form (uncorrected): -1446.1 meV per atom
space-group type: No. 12

abc: 8.5609 9.2093 8.6067
angles: 118.08 119.82 90.00
Site moments in Bohr magnetons follow the coordinates.
Positions (direct):
Rb 0.5000 0.0000 0.0000  0.01
Rb 0.0000 0.0000 0.5000  0.00
S 0.2639 0.2900 0.5278  0.00
Ac 0.5000 0.5000 0.5000  0.01
S 0.7684 0.6865 0.9769  0.10
S 0.2316 0.3135 0.0231  0.10
Ac 0.0000 0.5000 0.5000  0.01
S 0.2250 0.7007 0.4499  0.09
S 0.7915 0.3135 0.0231  0.10
Rb 0.5000 0.0000 0.5000  0.00
Ac 0.5000 0.5000 0.0000  0.01
S 0.7750 0.2993 0.5501  0.09
S 0.7361 0.7100 0.4722  0.00
Rb 0.0000 0.0000 0.0000  0.00
Fe 0.0000 0.5000 0.0000  3.75
S 0.2085 0.6865 0.9769  0.10

***

Computed, not measured: an optimized crystal structure of AcFeRh at the PBE-GGA level of DFT.

## Properties
N(E_F): 0.8694 states/eV/atom
calculated formation energy: -0.20 eV per atom
crystal system: orthorhombic
space-group type: No. 74

abc: 5.5938 5.5938 5.5938
angles: 91.81 63.68 126.03
Site moments in Bohr magnetons follow the coordinates.
Positions (direct):
Ac 0.2500 0.1161 0.6339  -0.12
Rh 0.0000 0.5000 0.5000  0.26
Fe 0.0000 0.5000 0.0000  2.65
Rh 0.5000 0.5000 0.0000  0.26
Ac 0.7500 0.8839 0.3661  -0.12
Fe 0.5000 0.0000 0.0000  2.65

***

Computed, not measured: an optimized crystal structure of AcFeRh2 at the PBE-GGA level of DFT.

## Properties
N(E_F): 0.6947 states/eV/atom
calculated formation energy: -0.03 eV per atom
crystal system: tetragonal
space-group type: No. 123

abc: 3.2662 3.2662 7.1099
angles: 90.00 90.00 90.00
Site moments in Bohr magnetons follow the coordinates.
Positions (direct):
Fe 0.5000 0.5000 0.0000  3.25
Ac 0.5000 0.5000 0.5000  -0.04
Rh 0.0000 0.0000 0.8082  0.43
Rh 0.0000 0.0000 0.1918  0.43

***

Computed, not measured: an optimized crystal structure of Ac8FeRh2 at the PBE-GGA level of DFT.

## Properties
N(E_F): 1.2512 states/eV/atom
calculated formation energy: -0.18 eV per atom
crystal system: monoclinic
space-group type: No. 12

abc: 7.6042 7.7707 7.8903
angles: 89.62 118.81 90.00
Positions (direct):
Ac 0.2929 0.5988 0.5858
Fe 0.0000 0.0000 0.0000
Ac 0.7071 0.4012 0.4142
Ac 0.7988 0.8891 0.5977
Ac 0.7143 0.2540 0.9216
Ac 0.2857 0.7460 0.0784
Ac 0.7927 0.7460 0.0784
Rh 0.1076 0.4480 0.2152
Ac 0.2012 0.1109 0.4023
Ac 0.2073 0.2540 0.9216
Rh 0.8924 0.5520 0.7848

***

Computed, not measured: an optimized crystal structure of AcFeRh2 at the PBE-GGA level of DFT.

## Properties
N(E_F): 1.0730 states/eV/atom
calculated formation energy: -0.28 eV per atom
crystal system: trigonal
space-group type: No. 166

abc: 4.2688 4.2688 5.7944
angles: 68.39 68.39 60.00
Site moments in Bohr magnetons follow the coordinates.
Positions (direct):
Fe 0.5000 0.5000 0.5000  2.85
Rh 0.7934 0.7934 0.6197  0.34
Ac 0.0000 0.0000 0.0000  -0.06
Rh 0.2066 0.2066 0.3803  0.34

***

Computed, not measured: an optimized crystal structure of AcFeSi3Rh at the PBE-GGA level of DFT.

## Properties
N(E_F): 0.5660 states/eV/atom
crystal system: orthorhombic
E_form (uncorrected): -487.4 meV per atom
space-group type: No. 63

abc: 5.8885 6.8548 6.6441
angles: 121.05 90.00 90.00
Site moments in Bohr magnetons follow the coordinates.
Positions (direct):
Si 0.2500 0.2358 0.4715  -0.01
Ac 0.2500 0.7519 0.5037  0.01
Si 0.0000 0.2433 0.0000  -0.01
Rh 0.7500 0.5687 0.1374  -0.02
Si 0.5000 0.2433 0.0000  -0.01
Fe 0.2500 0.0510 0.1020  0.77
Si 0.7500 0.7642 0.5285  -0.01
Si 0.0000 0.7567 0.0000  -0.01
Si 0.5000 0.7567 0.0000  -0.01
Rh 0.2500 0.4313 0.8626  -0.02
Ac 0.7500 0.2481 0.4963  0.01
Fe 0.7500 0.9490 0.8980  0.77

***

Computed, not measured: an optimized crystal structure of Ac6FeRu at the PBE-GGA level of DFT.

## Properties
N(E_F): 0.9389 states/eV/atom
calculated formation energy: 0.00 eV per atom
crystal system: trigonal
space-group type: No. 163

abc: 7.1391 7.1391 13.8135
angles: 90.00 90.00 120.00
Positions (direct):
Fe 0.0000 0.0000 0.0000
Ru 0.6667 0.3333 0.7500
Fe 0.0000 0.0000 0.5000
Ac 0.6743 0.6700 0.6229
Ac 0.0043 0.6743 0.3771
Ac 0.9957 0.6700 0.8771
Ac 0.0043 0.3300 0.1229
Ac 0.3257 0.9957 0.1229
Ac 0.6700 0.9957 0.3771
Ac 0.3257 0.3300 0.3771
Ru 0.3333 0.6667 0.2500
Ac 0.6743 0.0043 0.8771
Ac 0.3300 0.0043 0.6229
Ac 0.6700 0.6743 0.1229
Ac 0.9957 0.3257 0.6229
Ac 0.3300 0.3257 0.8771

***

Computed, not measured: an optimized crystal structure of AcFeRu at the PBE-GGA level of DFT.

## Properties
N(E_F): 1.0959 states/eV/atom
calculated formation energy: 0.09 eV per atom
crystal system: hexagonal
space-group type: No. 187

abc: 4.4795 4.1842 4.1842
angles: 120.00 90.00 90.00
Site moments in Bohr magnetons follow the coordinates.
Positions (direct):
Ac 0.6667 0.3333 0.6667  -0.07
Fe 0.1666 0.0000 0.0000  2.28
Ru 0.1667 0.6667 0.3333  0.52

***

Computed, not measured: an optimized crystal structure of AcFeS at the PBE-GGA level of DFT.

## Properties
N(E_F): 0.7921 states/eV/atom
crystal system: monoclinic
E_form (uncorrected): -812.7 meV per atom
space-group type: No. 12

abc: 4.1850 4.1850 8.4813
angles: 84.74 84.74 88.44
Site moments in Bohr magnetons follow the coordinates.
Positions (direct):
Ac 0.7970 0.7970 0.7811  -0.04
Ac 0.2030 0.2030 0.2189  -0.04
Fe 0.6730 0.6730 0.4360  2.71
Fe 0.3270 0.3270 0.5640  2.71
S 0.7194 0.7194 0.1511  0.02
S 0.2806 0.2806 0.8489  0.02

***

Computed, not measured: an optimized crystal structure of AcFeS3 at the PBE-GGA level of DFT.

## Properties
N(E_F): 0.4964 states/eV/atom
crystal system: cubic
E_form (uncorrected): -1137.9 meV per atom
space-group type: No. 221

abc: 4.6520 4.6520 4.6520
angles: 90.00 90.00 90.00
Site moments in Bohr magnetons follow the coordinates.
Positions (direct):
S 0.0000 0.0000 0.5000  0.06
S 0.0000 0.5000 0.0000  0.06
Ac 0.5000 0.5000 0.5000  0.02
Fe 0.0000 0.0000 0.0000  2.67
S 0.5000 0.0000 0.0000  0.06

***

Question: Which formula does entry 1 have?
Answer: AcPu3Fe